HoTcAsO | PBE | optimized geometry Values from VASP.

energy relative to the lowest polymorph listed for this composition = 1610 meV/atom
final energy = -6.312 eV/atom

```
&SYSTEM
  ibrav = 0, nat = 8, ntyp = 4
/
ATOMIC_SPECIES
Ho 164.93 Ho.upf
Tc 98.00 Tc.upf
As 74.92 As.upf
O 16.00 O.upf
CELL_PARAMETERS angstrom
4.323 0.000 0.000
0.000 4.323 0.000
0.000 0.000 8.916
ATOMIC_POSITIONS crystal
Ho 0.250 0.750 0.000
Ho 0.750 0.250 0.000
Tc 0.250 0.250 0.480
Tc 0.750 0.750 0.520
As 0.250 0.250 0.204
As 0.750 0.750 0.796
O 0.250 0.750 0.500
O 0.750 0.250 0.500
```